# 1
The following is a PBE-GGA calculation of crystalline Rb2YTc at its relaxed geometry, from Alexandria.

Polymorph energy (0 for the lowest one) = 506.3 meV/atom
Energy of formation = 1613 meV/atom
Crystal system = cubic

a b c (Å): 5.979 5.979 5.979
angles (deg): 60.00 60.00 60.00
Positions (direct):
1 Rb 0.250 0.250 0.250
2 Rb 0.750 0.750 0.750
3 Y 0.000 0.000 0.000
4 Tc 0.500 0.500 0.500

***

# 2
The following is a PBE-GGA calculation of crystalline Rb2YTc at its relaxed geometry, from Alexandria.

Polymorph energy (0 for the lowest one) = 0.0 meV/atom
Energy of formation = 1107 meV/atom
Crystal system = tetragonal

a b c (Å): 9.637 9.637 9.637
angles (deg): 93.83 93.83 150.03
Positions (direct):
1 Rb 0.375 0.221 0.346
2 Rb 0.779 0.125 0.154
3 Rb 0.875 0.029 0.654
4 Rb 0.971 0.625 0.846
5 Y 0.250 0.750 0.500
6 Y 0.500 0.500 0.000
7 Tc 0.000 0.000 0.000
8 Tc 0.750 0.250 0.500

***

# 3
The following is a PBE-GGA calculation of crystalline Rb3ZnTc at its relaxed geometry, from Alexandria.

Polymorph energy (0 for the lowest one) = 0.0 meV/atom
Energy of formation = 1206 meV/atom
Crystal system = cubic

a b c (Å): 6.686 6.686 6.686
angles (deg): 90.00 90.00 90.00
Positions (direct):
1 Rb 0.000 0.000 0.500
2 Rb 0.000 0.500 0.000
3 Rb 0.500 0.000 0.000
4 Zn 0.500 0.500 0.500
5 Tc 0.000 0.000 0.000

***

# 4
The following is a PBE-GGA calculation of crystalline RbZn3Tc at its relaxed geometry, from Alexandria.

Polymorph energy (0 for the lowest one) = 0.0 meV/atom
Energy of formation = 419 meV/atom
Crystal system = cubic

a b c (Å): 5.032 5.032 5.032
angles (deg): 90.00 90.00 90.00
Positions (direct):
1 Rb 0.000 0.000 0.000
2 Zn 0.000 0.500 0.500
3 Zn 0.500 0.000 0.500
4 Zn 0.500 0.500 0.000
5 Tc 0.500 0.500 0.500

***

# 5
The following is a PBE-GGA calculation of crystalline RbZn3Tc at its relaxed geometry, from Alexandria.

Polymorph energy (0 for the lowest one) = 1419.4 meV/atom
Energy of formation = 1838 meV/atom
Crystal system = cubic

a b c (Å): 6.104 6.104 6.104
angles (deg): 90.00 90.00 90.00
Positions (direct):
1 Rb 0.000 0.000 0.000
2 Zn 0.000 0.000 0.500
3 Zn 0.000 0.500 0.000
4 Zn 0.500 0.000 0.000
5 Tc 0.500 0.500 0.500

***

# 6
The following is a PBE-GGA calculation of crystalline Rb2ZrTc at its relaxed geometry, from Alexandria.

Polymorph energy (0 for the lowest one) = 0.0 meV/atom
Energy of formation = 1223 meV/atom
Crystal system = tetragonal

a b c (Å): 9.718 9.718 9.718
angles (deg): 93.36 93.36 151.97
Positions (direct):
1 Rb 0.375 0.208 0.333
2 Rb 0.792 0.125 0.167
3 Rb 0.875 0.042 0.667
4 Rb 0.958 0.625 0.833
5 Zr 0.250 0.750 0.500
6 Zr 0.500 0.500 0.000
7 Tc 0.000 0.000 0.000
8 Tc 0.750 0.250 0.500

***

> What is the energy of formation in the third record?

1206 meV/atom

***

> What is the formula in the second record?

Rb2YTc

***

> Among the records above, which one has the lowest energy of formation?

number 4